Dy2VAg2O6 | GGA+U | relaxed

a = 5.8358 Å, b = 5.8358 Å, c = 6.4777 Å
α = 83.66°, β = 83.66°, γ = 121.24°
Last column: nearest neighbours and their distance in Å.
Sites, in units of the cell vectors:
Dy 0.3359 0.6641 0.5000  6 O 2.26-2.29
Dy 0.6641 0.3359 0.5000  6 O 2.26-2.29
V 0.0000 0.0000 0.5000  6 O 1.88-2.08
O 0.0519 0.7417 0.3312  1 V 2.08, 1 Ag 2.09, 2 Dy 2.28-2.29
O 0.3236 0.3236 0.3546  1 V 1.88
O 0.6764 0.6764 0.6454  1 V 1.88
Ag 0.8482 0.1518 0.0000  2 O 2.09
Ag 0.1518 0.8482 0.0000  2 O 2.09
O 0.2583 0.9481 0.6688  1 V 2.08, 1 Ag 2.09, 2 Dy 2.28-2.29
O 0.9481 0.2583 0.6688  1 V 2.08, 1 Ag 2.09, 2 Dy 2.28-2.29
O 0.7417 0.0519 0.3312  1 V 2.08, 1 Ag 2.09, 2 Dy 2.28-2.29

Summary:
E, eV/atom: -6.877